DFT (PBE) results for an optimized crystal structure of Sc2AgGeW.

Results
The calculation puts the raw total energy at -0.4052 Ry/atom. The density of states at the Fermi level is 0.850 states/eV/atom. The crystal system is tetragonal.

Cell lengths 5.015, 5.015, 4.931 Å; angles 90.00, 90.00, 90.00 degrees
Space group P4/mmm (No. 123)
Symmetry-distinct sites (fractional):
Sc  0.000  0.500  0.000 x2
Ag  0.000  0.000  0.000 x1
Ge  0.500  0.500  0.500 x1
W  0.000  0.000  0.500 x1